1.
# Li3Ac2Au2 PBE-GGA relaxed
data_Li3Ac2Au2
_space_group_name_H-M_alt 'P 1'
_space_group_IT_number 1
_space_group_name_Hall 'P 1'
_cell_length_a 4.369
_cell_length_b 6.041
_cell_length_c 7.895
_cell_angle_alpha 112.73
_cell_angle_beta 90.00
_cell_angle_gamma 111.20
loop_
_atom_site_label
_atom_site_type_symbol
_atom_site_fract_x
_atom_site_fract_y
_atom_site_fract_z
Li1 Li 0.500 0.000 0.000
Li2 Li 0.652 0.305 0.431
Li3 Li 0.348 0.695 0.569
Ac1 Ac 0.866 0.732 0.227
Ac2 Ac 0.134 0.268 0.773
Au1 Au 0.852 0.705 0.796
Au2 Au 0.148 0.295 0.204
# **Calculated formation energy**: -0.48 eV/atom
# **Space-group type**: C2/m (12)
# **M_tot**: 0.000 μB per atom

2.
# CoRh2 PBE-GGA relaxed
data_CoRh2
_space_group_name_H-M_alt 'P 1'
_space_group_IT_number 1
_space_group_name_Hall 'P 1'
_cell_length_a 2.692
_cell_length_b 10.959
_cell_length_c 2.692
_cell_angle_alpha 90.00
_cell_angle_beta 90.00
_cell_angle_gamma 90.00
loop_
_atom_site_label
_atom_site_type_symbol
_atom_site_fract_x
_atom_site_fract_y
_atom_site_fract_z
Co1 Co 0.000 0.004 0.000
Co2 Co 0.000 0.329 0.000
Rh1 Rh 0.500 0.167 0.500
Rh2 Rh 0.500 0.490 0.500
Rh3 Rh 0.000 0.667 0.000
Rh4 Rh 0.500 0.844 0.500
# **Calculated formation energy**: 0.05 eV/atom
# **Space-group type**: P4/mmm (123)
# **M_tot**: 0.699 μB per atom

3.
# AcTbPr2Y5 PBE-GGA relaxed
data_AcTbPr2Y5
_space_group_name_H-M_alt 'P 1'
_space_group_IT_number 1
_space_group_name_Hall 'P 1'
_cell_length_a 8.819
_cell_length_b 8.819
_cell_length_c 10.140
_cell_angle_alpha 115.78
_cell_angle_beta 115.78
_cell_angle_gamma 90.00
loop_
_atom_site_label
_atom_site_type_symbol
_atom_site_fract_x
_atom_site_fract_y
_atom_site_fract_z
Ac1 Ac 0.250 0.750 0.500
Ac2 Ac 0.750 0.250 0.500
Tb1 Tb 0.250 0.250 0.500
Tb2 Tb 0.750 0.750 0.500
Pr1 Pr 0.116 0.384 0.000
Pr2 Pr 0.616 0.116 0.000
Pr3 Pr 0.384 0.884 0.000
Pr4 Pr 0.884 0.616 0.000
Y1 Y 0.922 0.422 0.270
Y2 Y 0.652 0.152 0.730
Y3 Y 0.078 0.578 0.730
Y4 Y 0.152 0.078 0.730
Y5 Y 0.578 0.652 0.730
Y6 Y 0.848 0.922 0.270
Y7 Y 0.422 0.348 0.270
Y8 Y 0.348 0.848 0.270
Y9 Y 0.500 0.500 0.000
Y10 Y 0.000 0.000 0.000
# **Calculated formation energy**: 0.26 eV/atom
# **Space-group type**: I4/mcm (140)
# **M_tot**: 0.000 μB per atom

4.
# Sr2CdTc PBE-GGA relaxed
data_Sr2CdTc
_space_group_name_H-M_alt 'P 1'
_space_group_IT_number 1
_space_group_name_Hall 'P 1'
_cell_length_a 3.650
_cell_length_b 5.652
_cell_length_c 5.652
_cell_angle_alpha 90.00
_cell_angle_beta 90.00
_cell_angle_gamma 90.00
loop_
_atom_site_label
_atom_site_type_symbol
_atom_site_fract_x
_atom_site_fract_y
_atom_site_fract_z
Cd1 Cd 0.500 0.000 0.500
Sr1 Sr 0.000 0.000 0.000
Sr2 Sr 0.000 0.500 0.500
Tc1 Tc 0.500 0.500 0.000
# **Calculated formation energy**: 0.52 eV/atom
# **Space-group type**: P4/mmm (123)
# **M_tot**: 0.528 μB per atom

5.
# Th2MnSi3 PBE-GGA relaxed
data_Th2MnSi3
_space_group_name_H-M_alt 'P 1'
_space_group_IT_number 1
_space_group_name_Hall 'P 1'
_cell_length_a 7.722
_cell_length_b 7.722
_cell_length_c 7.722
_cell_angle_alpha 149.85
_cell_angle_beta 148.06
_cell_angle_gamma 44.49
loop_
_atom_site_label
_atom_site_type_symbol
_atom_site_fract_x
_atom_site_fract_y
_atom_site_fract_z
Th1 Th 0.247 0.747 0.500
Th2 Th 0.998 0.998 0.000
Mn1 Mn 0.837 0.337 0.500
Si1 Si 0.412 0.412 0.000
Si2 Si 0.674 0.174 0.500
Si3 Si 0.581 0.581 0.000
# **Space-group type**: Imm2 (44)
# **Uncorrected formation energy**: -0.61 eV per atom
# **M_tot**: 0.319 μB per atom

6.
# La4Ce3Te8 PBE-GGA relaxed
data_La4Ce3Te8
_space_group_name_H-M_alt 'P 1'
_space_group_IT_number 1
_space_group_name_Hall 'P 1'
_cell_length_a 9.094
_cell_length_b 9.070
_cell_length_c 9.070
_cell_angle_alpha 90.04
_cell_angle_beta 120.07
_cell_angle_gamma 120.07
loop_
_atom_site_label
_atom_site_type_symbol
_atom_site_fract_x
_atom_site_fract_y
_atom_site_fract_z
La1 La 0.500 0.000 0.000
La2 La 0.000 0.500 0.000
La3 La 0.000 0.000 0.000
La4 La 0.000 0.000 0.500
Ce1 Ce 0.500 0.500 0.000
Ce2 Ce 0.500 0.000 0.500
Ce3 Ce 0.500 0.500 0.500
Te1 Te 0.511 0.257 0.257
Te2 Te 0.000 0.745 0.255
Te3 Te 0.003 0.257 0.257
Te4 Te 0.500 0.748 0.252
Te5 Te 0.500 0.252 0.748
Te6 Te 0.997 0.743 0.743
Te7 Te 0.000 0.255 0.745
Te8 Te 0.489 0.743 0.743
# **Space-group type**: C2/m (12)
# **Uncorrected formation energy**: -1.50 eV per atom
# **M_tot**: 0.271 μB per atom

7.
# ScTi2Zn PBE-GGA relaxed
data_ScTi2Zn
_space_group_name_H-M_alt 'P 1'
_space_group_IT_number 1
_space_group_name_Hall 'P 1'
_cell_length_a 7.440
_cell_length_b 7.440
_cell_length_c 5.933
_cell_angle_alpha 51.17
_cell_angle_beta 51.17
_cell_angle_gamma 90.00
loop_
_atom_site_label
_atom_site_type_symbol
_atom_site_fract_x
_atom_site_fract_y
_atom_site_fract_z
Sc1 Sc 0.500 0.500 0.000
Sc2 Sc 0.250 0.750 0.500
Zn1 Zn 0.000 0.000 0.000
Zn2 Zn 0.750 0.250 0.500
Ti1 Ti 0.655 0.125 0.250
Ti2 Ti 0.095 0.625 0.250
Ti3 Ti 0.375 0.345 0.750
Ti4 Ti 0.875 0.905 0.750
# **Calculated formation energy**: 0.29 eV/atom
# **Space-group type**: I-42d (122)
# **M_tot**: 0.495 μB per atom

8.
# ZnSb4Mo PBE-GGA relaxed
data_ZnSb4Mo
_space_group_name_H-M_alt 'P 1'
_space_group_IT_number 1
_space_group_name_Hall 'P 1'
_cell_length_a 6.174
_cell_length_b 6.174
_cell_length_c 6.174
_cell_angle_alpha 60.00
_cell_angle_beta 60.00
_cell_angle_gamma 60.00
loop_
_atom_site_label
_atom_site_type_symbol
_atom_site_fract_x
_atom_site_fract_y
_atom_site_fract_z
Zn1 Zn 0.750 0.750 0.750
Sb1 Sb 0.872 0.376 0.376
Sb2 Sb 0.376 0.376 0.872
Sb3 Sb 0.376 0.872 0.376
Sb4 Sb 0.376 0.376 0.376
Mo1 Mo 0.000 0.000 0.000
# **Space-group type**: F-43m (216)
# **Uncorrected formation energy**: 0.90 eV per atom
# **M_tot**: 0.721 μB per atom

9.
# CrIn4Sb PBE-GGA relaxed
data_CrIn4Sb
_space_group_name_H-M_alt 'P 1'
_space_group_IT_number 1
_space_group_name_Hall 'P 1'
_cell_length_a 6.098
_cell_length_b 6.098
_cell_length_c 6.098
_cell_angle_alpha 60.00
_cell_angle_beta 60.00
_cell_angle_gamma 60.00
loop_
_atom_site_label
_atom_site_type_symbol
_atom_site_fract_x
_atom_site_fract_y
_atom_site_fract_z
Cr1 Cr 0.000 0.000 0.000
In1 In 0.375 0.875 0.375
In2 In 0.875 0.375 0.375
In3 In 0.375 0.375 0.875
In4 In 0.375 0.375 0.375
Sb1 Sb 0.750 0.750 0.750
# **Space-group type**: F-43m (216)
# **Uncorrected formation energy**: 0.46 eV per atom
# **M_tot**: 0.749 μB per atom

10.
# SrAl4Au4 PBE-GGA relaxed
data_SrAl4Au4
_space_group_name_H-M_alt 'P 1'
_space_group_IT_number 1
_space_group_name_Hall 'P 1'
_cell_length_a 6.460
_cell_length_b 6.460
_cell_length_c 8.765
_cell_angle_alpha 90.00
_cell_angle_beta 90.00
_cell_angle_gamma 90.00
loop_
_atom_site_label
_atom_site_type_symbol
_atom_site_fract_x
_atom_site_fract_y
_atom_site_fract_z
Sr1 Sr 0.000 0.000 0.000
Sr2 Sr 0.500 0.500 0.500
Al1 Al 0.236 0.500 0.888
Al2 Al 0.764 0.500 0.888
Al3 Al 0.500 0.764 0.112
Al4 Al 0.500 0.236 0.112
Al5 Al 0.000 0.736 0.388
Al6 Al 0.000 0.264 0.388
Al7 Al 0.264 0.000 0.612
Al8 Al 0.736 0.000 0.612
Au1 Au 0.500 0.785 0.815
Au2 Au 0.500 0.215 0.815
Au3 Au 0.785 0.500 0.185
Au4 Au 0.215 0.500 0.185
Au5 Au 0.285 0.000 0.315
Au6 Au 0.715 0.000 0.315
Au7 Au 0.000 0.285 0.685
Au8 Au 0.000 0.715 0.685
# **Calculated formation energy**: -0.54 eV/atom
# **Space-group type**: P4_2/nmc (137)
# **M_tot**: 0.000 μB per atom

11.
# HfCu PBE-GGA relaxed
data_HfCu
_space_group_name_H-M_alt 'P 1'
_space_group_IT_number 1
_space_group_name_Hall 'P 1'
_cell_length_a 9.143
_cell_length_b 9.143
_cell_length_c 3.077
_cell_angle_alpha 90.00
_cell_angle_beta 90.00
_cell_angle_gamma 120.00
loop_
_atom_site_label
_atom_site_type_symbol
_atom_site_fract_x
_atom_site_fract_y
_atom_site_fract_z
Hf1 Hf 0.870 0.354 0.250
Hf2 Hf 0.516 0.870 0.750
Hf3 Hf 0.646 0.516 0.250
Hf4 Hf 0.130 0.646 0.750
Hf5 Hf 0.484 0.130 0.250
Hf6 Hf 0.354 0.484 0.750
Cu1 Cu 0.804 0.031 0.250
Cu2 Cu 0.773 0.804 0.750
Cu3 Cu 0.969 0.773 0.250
Cu4 Cu 0.196 0.969 0.750
Cu5 Cu 0.227 0.196 0.250
Cu6 Cu 0.031 0.227 0.750
# **Calculated formation energy**: 0.28 eV/atom
# **Space-group type**: P6_3/m (176)
# **M_tot**: 0.000 μB per atom

Look up the M_tot of the ninth one. 0.749 μB per atom

Number 4 is which compound? Sr2CdTc